{"formula": "Ac3Hg4Pb4", "functional": "PBE", "state": "relaxed", "lattice": [[-2.2615, 2.5949, 15.0567], [2.2615, -2.5949, 15.0567], [2.2615, 2.5949, -15.0567]], "species": ["Ac", "Ac", "Ac", "Hg", "Hg", "Hg", "Hg", "Pb", "Pb", "Pb", "Pb"], "fractional_positions": [[0.0000, 0.0000, 0.0000], [0.3587, 0.8587, 0.5000], [0.6413, 0.1413, 0.5000], [0.1874, 0.6874, 0.5000], [0.4535, 0.4535, 0.0000], [0.5465, 0.5465, 0.0000], [0.8126, 0.3126, 0.5000], [0.0923, 0.5923, 0.5000], [0.2556, 0.2556, 0.0000], [0.7444, 0.7444, 0.0000], [0.9077, 0.4077, 0.5000]], "formation_energy_ev_per_fu": -3.3, "spacegroup": "Immm, No. 71", "volume_a3_per_atom": 32.13}

{"formula": "Ac3HgPb", "functional": "PBE", "state": "relaxed", "lattice": [[4.4237, 0.0000, 0.0000], [0.0004, 10.1623, 0.0000], [0.0003, 4.3318, 9.1941]], "species": ["Ac", "Ac", "Ac", "Ac", "Ac", "Ac", "Hg", "Hg", "Pb", "Pb"], "fractional_positions": [[0.0000, 0.0000, 0.0000], [0.0000, 0.1511, 0.4054], [0.0012, 0.3717, 0.6295], [0.0012, 0.7791, 0.7762], [0.5011, 0.4228, 0.0498], [0.5011, 0.7273, 0.3550], [0.4996, 0.0750, 0.2031], [0.5012, 0.5757, 0.7024], [0.0011, 0.5752, 0.2023], [0.5006, 0.0753, 0.7027]], "formation_energy_ev_per_fu": -1.1, "spacegroup": "P1, No. 1", "volume_a3_per_atom": 41.33}

{"formula": "AcHg2Pb3", "functional": "PBE", "state": "relaxed", "lattice": [[8.6395, -2.6915, 0.0000], [8.6395, 2.6915, 0.0000], [-4.9170, 0.0000, 7.9584]], "species": ["Ac", "Ac", "Hg", "Hg", "Hg", "Hg", "Pb", "Pb", "Pb", "Pb", "Pb", "Pb"], "fractional_positions": [[0.1424, 0.1424, 0.1883], [0.8576, 0.8576, 0.8117], [0.2253, 0.2253, 0.6080], [0.4893, 0.4893, 0.8362], [0.5107, 0.5107, 0.1638], [0.7747, 0.7747, 0.3920], [0.0432, 0.0432, 0.7135], [0.2997, 0.2997, 0.0166], [0.3921, 0.3921, 0.4539], [0.6079, 0.6079, 0.5461], [0.7003, 0.7003, 0.9834], [0.9568, 0.9568, 0.2865]], "formation_energy_ev_per_fu": -1.3, "spacegroup": "C2/m, No. 12", "volume_a3_per_atom": 30.84}